This record from the Alexandria database describes Y5ThRh6 after structural relaxation. The functional is PBE.

Unit cell a=8.425 b=8.425 c=4.862 alpha=106.63 beta=106.63 gamma=49.63
Fractional positions:
Y 0.000 0.000 0.000
Y 0.165 0.165 0.664
Y 0.326 0.326 0.326
Y 0.674 0.674 0.674
Y 0.835 0.835 0.336
Th 0.500 0.500 0.000
Rh 0.092 0.582 0.837
Rh 0.258 0.742 0.500
Rh 0.418 0.908 0.163
Rh 0.582 0.092 0.837
Rh 0.742 0.258 0.500
Rh 0.908 0.418 0.163

Calculated values
symmetry	No. 12

***

This record from the Alexandria database describes YTh2Rh2 after structural relaxation. The functional is PBE.

Unit cell a=5.828 b=5.828 c=4.463 alpha=112.43 beta=112.43 gamma=98.14
Fractional positions:
Y 0.000 0.000 0.000
Th 0.304 0.696 0.500
Th 0.696 0.304 0.500
Rh 0.272 0.272 0.771
Rh 0.728 0.728 0.229

Calculated values
polymorph energy (0 for the lowest one)	0.159	eV/atom
symmetry	No. 12

***

This record from the Alexandria database describes YThRh after structural relaxation. The functional is PBE.

Unit cell a=4.686 b=4.686 c=4.037 alpha=90.00 beta=90.00 gamma=120.00
Fractional positions:
Y 0.000 0.000 0.000
Th 0.333 0.667 0.455
Rh 0.667 0.333 0.728

Calculated values
polymorph energy (0 for the lowest one)	0.252	eV/atom
symmetry	No. 156

***

This record from the Alexandria database describes Y2ThRh3 after structural relaxation. The functional is PBE.

Unit cell a=7.522 b=7.522 c=6.926 alpha=102.40 beta=102.40 gamma=43.97
Fractional positions:
Y 0.074 0.281 0.142
Y 0.281 0.074 0.642
Y 0.719 0.926 0.358
Y 0.926 0.719 0.858
Th 0.381 0.619 0.250
Th 0.619 0.381 0.750
Rh 0.102 0.898 0.750
Rh 0.240 0.445 0.492
Rh 0.445 0.240 0.992
Rh 0.555 0.760 0.008
Rh 0.760 0.555 0.508
Rh 0.898 0.102 0.250

Calculated values
polymorph energy (0 for the lowest one)	0.042	eV/atom
symmetry	No. 15

***

This record from the Alexandria database describes YThRh after structural relaxation. The functional is PBE.

Unit cell a=6.236 b=6.236 c=6.236 alpha=146.18 beta=146.18 gamma=48.58
Fractional positions:
Y 0.000 0.000 0.000
Th 0.708 0.708 0.000
Rh 0.331 0.331 0.000

Calculated values
polymorph energy (0 for the lowest one)	0.082	eV/atom
symmetry	No. 107

***

This record from the Alexandria database describes Y2Th4Rh9 after structural relaxation. The functional is PBE.

Unit cell a=4.642 b=4.642 c=17.127 alpha=90.00 beta=90.00 gamma=120.00
Fractional positions:
Y 0.333 0.667 0.252
Y 0.667 0.333 0.748
Th 0.333 0.667 0.603
Th 0.333 0.667 0.904
Th 0.667 0.333 0.096
Th 0.667 0.333 0.397
Rh 0.000 0.000 0.000
Rh 0.000 0.000 0.169
Rh 0.000 0.000 0.336
Rh 0.000 0.000 0.664
Rh 0.000 0.000 0.831
Rh 0.333 0.667 0.081
Rh 0.333 0.667 0.431
Rh 0.667 0.333 0.569
Rh 0.667 0.333 0.919

Calculated values
symmetry	No. 164

***

This record from the Alexandria database describes YTh2Rh2 after structural relaxation. The functional is PBE.

Unit cell a=7.877 b=7.877 c=3.899 alpha=90.00 beta=90.00 gamma=90.00
Fractional positions:
Y 0.000 0.000 0.000
Y 0.500 0.500 0.000
Th 0.167 0.333 0.500
Th 0.333 0.833 0.500
Th 0.667 0.167 0.500
Th 0.833 0.667 0.500
Rh 0.134 0.634 0.000
Rh 0.366 0.134 0.000
Rh 0.634 0.866 0.000
Rh 0.866 0.366 0.000

Calculated values
polymorph energy (0 for the lowest one)	0.000	eV/atom
symmetry	No. 127

***

This record from the Alexandria database describes YTh3Rh4 after structural relaxation. The functional is PBE.

Unit cell a=7.082 b=7.082 c=4.050 alpha=90.00 beta=90.00 gamma=109.37
Fractional positions:
Y 0.000 0.000 0.000
Th 0.000 0.500 0.500
Th 0.500 0.000 0.500
Th 0.500 0.500 0.000
Rh 0.252 0.748 0.000
Rh 0.255 0.255 0.500
Rh 0.745 0.745 0.500
Rh 0.748 0.252 0.000

Calculated values
symmetry	No. 65

***

The calculation returns the following formation enthalpy at 0 K values, one per record and in order: -0.84 -0.59 -0.32 -0.80 -0.49 -0.77 -0.75 -0.85 eV/atom.